# Pm2Nd3Rh2

Pm2Nd3Rh2 after structural relaxation (PBE, Alexandria).

Properties
volume: 28.68 Å³ per atom
DOS(E_F): 1.0547 states/eV/atom
E_form: -315 kJ/mol of formula units
total magnetic moment: 0.000 μB per atom

Cell lengths 12.424, 3.906, 9.174 Å; angles 90.00, 115.59, 90.00 degrees
Space group C2/m (No. 12)
Symmetry-distinct sites (fractional):
1 Pm 0.169 0.000 0.311
2 Nd 0.000 0.500 0.500
3 Nd 0.115 0.500 0.928
4 Rh 0.180 0.000 0.743


# PmNd3Rh4

PmNd3Rh4 after structural relaxation (PBE, Alexandria).

Properties
volume: 22.13 Å³ per atom
DOS(E_F): 0.7135 states/eV/atom
E_form: -505 kJ/mol of formula units
total magnetic moment: 0.000 μB per atom

Cell lengths 4.9998, 4.9998, 24.5375 Å; angles 90.00, 90.00, 120.00 degrees
Space group R-3m (No. 166, hexagonal axes)
Symmetry-distinct sites (fractional):
1 Pm 0.0000 0.0000 0.0000
2 Nd 0.0000 0.0000 0.2503
3 Nd 0.0000 0.0000 0.5000
4 Rh 0.0000 0.0000 0.1245
5 Rh 0.0000 0.0000 0.3746


# Pm2NdRh

Pm2NdRh after structural relaxation (PBE, Alexandria).

Properties
volume: 31.91 Å³ per atom
DOS(E_F): 0.9184 states/eV/atom
E_form: -131 kJ/mol of formula units
total magnetic moment: 0.000 μB per atom

Cell lengths 6.790, 6.488, 11.587 Å; angles 90.00, 90.00, 90.00 degrees
Space group Pnna (No. 52)
Symmetry-distinct sites (fractional):
1 Pm 0.088 0.243 0.084
2 Nd 0.062 0.250 0.750
3 Rh 0.250 0.000 0.585